{
  "formula": "Pm3DyTl",
  "functional": "PBE",
  "state": "optimized geometry",
  "m_tot_mub_per_fu": 0.000,
  "relative_energy_ev_per_atom": 0.068,
  "sg": "Pmmn",
  "formation_enthalpy_0k_ev_per_atom": -0.0619,
  "cell": [[5.4854, 0.0000, 0.0000], [0.0000, 8.5836, 0.0000], [0.0000, 0.0000, 7.0254]],
  "species": ["Pm", "Pm", "Pm", "Pm", "Pm", "Pm", "Dy", "Dy", "Tl", "Tl"],
  "frac_coords": [[0.2500, 0.0599, 0.2244], [0.2500, 0.2500, 0.7119], [0.2500, 0.4401, 0.2244], [0.7500, 0.5599, 0.7756], [0.7500, 0.7500, 0.2881], [0.7500, 0.9401, 0.7756], [0.2500, 0.7500, 0.5589], [0.7500, 0.2500, 0.4411], [0.2500, 0.7500, 0.9863], [0.7500, 0.2500, 0.0137]]
}